1.
Computed, not measured: a relaxed Li2TlPb2 crystal at the PBE level of DFT.

a = 4.9283 Å, b = 4.9283 Å, c = 5.9052 Å
α = 90.00°, β = 90.00°, γ = 120.00°
Fractional positions:
Li (0.3333, 0.6667, 0.1420)
Li (0.6667, 0.3333, 0.8580)
Tl (0.0000, 0.0000, 0.0000)
Pb (0.3333, 0.6667, 0.6410)
Pb (0.6667, 0.3333, 0.3590)

Summary:
ΔE to the lowest computed polymorph in eV per atom: 0.024
Space-group type: P-3m1, No. 164
ΔE_f in eV per formula unit: -0.70

***

2.
Computed, not measured: a relaxed Li6Tl6Pb crystal at the PBE level of DFT.

a = 6.2989 Å, b = 6.2989 Å, c = 9.5395 Å
α = 90.00°, β = 90.00°, γ = 120.00°
Fractional positions:
Li (0.0000, 0.0000, 0.1705)
Li (0.0000, 0.0000, 0.8295)
Li (0.3333, 0.6667, 0.0000)
Li (0.3333, 0.6667, 0.5000)
Li (0.6667, 0.3333, 0.0000)
Li (0.6667, 0.3333, 0.5000)
Tl (0.0000, 0.5000, 0.2512)
Tl (0.0000, 0.5000, 0.7488)
Tl (0.5000, 0.0000, 0.2512)
Tl (0.5000, 0.0000, 0.7488)
Tl (0.5000, 0.5000, 0.2512)
Tl (0.5000, 0.5000, 0.7488)
Pb (0.0000, 0.0000, 0.5000)

Summary:
Space-group type: P6/mmm, No. 191
ΔE_f in eV per formula unit: -0.95

***

3.
Computed, not measured: a relaxed Li2Tl4Pb crystal at the PBE level of DFT.

a = 4.8055 Å, b = 23.4773 Å, c = 3.3601 Å
α = 90.00°, β = 90.00°, γ = 90.00°
Fractional positions:
Li (0.0000, 0.0604, 0.0000)
Li (0.0000, 0.9396, 0.0000)
Li (0.5000, 0.4396, 0.0000)
Li (0.5000, 0.5604, 0.0000)
Tl (0.0000, 0.2048, 0.5000)
Tl (0.0000, 0.3662, 0.0000)
Tl (0.0000, 0.6338, 0.0000)
Tl (0.0000, 0.7952, 0.5000)
Tl (0.5000, 0.1338, 0.0000)
Tl (0.5000, 0.2952, 0.5000)
Tl (0.5000, 0.7048, 0.5000)
Tl (0.5000, 0.8662, 0.0000)
Pb (0.0000, 0.5000, 0.5000)
Pb (0.5000, 0.0000, 0.5000)

Summary:
Space-group type: Cmmm, No. 65
ΔE_f in eV per formula unit: -0.54

***

4.
Computed, not measured: a relaxed Li6Tl3Pb crystal at the PBE level of DFT.

a = 8.2845 Å, b = 4.9096 Å, c = 10.6427 Å
α = 90.00°, β = 109.78°, γ = 90.00°
Fractional positions:
Li (0.0435, 0.2500, 0.4155)
Li (0.1461, 0.7500, 0.1732)
Li (0.1465, 0.2500, 0.7203)
Li (0.2283, 0.2500, 0.0214)
Li (0.3714, 0.7500, 0.7802)
Li (0.4504, 0.2500, 0.6086)
Li (0.5496, 0.7500, 0.3914)
Li (0.6286, 0.2500, 0.2198)
Li (0.7717, 0.7500, 0.9786)
Li (0.8535, 0.7500, 0.2797)
Li (0.8539, 0.2500, 0.8268)
Li (0.9565, 0.7500, 0.5845)
Tl (0.2375, 0.7500, 0.4892)
Tl (0.3395, 0.2500, 0.3163)
Tl (0.4746, 0.7500, 0.0970)
Tl (0.5254, 0.2500, 0.9030)
Tl (0.6605, 0.7500, 0.6837)
Tl (0.7625, 0.2500, 0.5108)
Pb (0.0809, 0.7500, 0.8740)
Pb (0.9190, 0.2500, 0.1260)

Summary:
ΔE to the lowest computed polymorph in eV per atom: 0.000
Space-group type: P2_1/m, No. 11
ΔE_f in eV per formula unit: -2.45